1.
The following is a PBE-GGA calculation of a geometry-optimized DyTmAsO structure, from the Open Quantum Materials Database.

The structure belongs to space group P4/nmm (No. 129, origin choice 2); the cell edges are 4.2993, 4.2993 and 8.7067 Å and the angles 90.00°, 90.00° and 90.00°. The asymmetric unit holds Dy at (0.2500, 0.2500, 0.1030), Tm at (0.2500, 0.7500, 0.5000), As at (0.2500, 0.2500, 0.7031) and O at (0.2500, 0.7500, 0.0000).

Its magnetic moment is 0.001 μB/atom. The value obtained for the offset from the most stable computed form is 0.073 eV per atom.

2.
The following is a PBE-GGA calculation of a geometry-optimized FeMo structure, from the Open Quantum Materials Database.

The structure belongs to space group P6_3/mmc (No. 194); the cell edges are 3.1214, 3.1214 and 6.5054 Å and the angles 90.00°, 90.00° and 120.00°. The asymmetric unit holds Fe at (0.3333, 0.6667, 0.2500) and Mo at (0.0000, 0.0000, 0.0000).

As for the energy relative to the elements: 0.604 eV per atom. Its magnetic moment is 0.001 μB/atom.

3.
The following is a PBE-GGA calculation of a geometry-optimized LaSmGd structure, from the Open Quantum Materials Database.

The structure belongs to space group F-43m (No. 216); the cell edges are 7.8463, 7.8463 and 7.8463 Å and the angles 90.00°, 90.00° and 90.00°. The asymmetric unit holds La at (0.0000, 0.0000, 0.0000), Sm at (0.2500, 0.2500, 0.7500) and Gd at (0.0000, 0.0000, 0.5000).

As for the energy relative to the elements: 0.690 eV per atom. Its magnetic moment is 0.014 μB/atom. The value obtained for the offset from the most stable computed form is 0.000 eV per atom.

4.
The following is a PBE-GGA calculation of a geometry-optimized TaNiPt2 structure, from the Open Quantum Materials Database.

The structure belongs to space group F-43m (No. 216); the cell edges are 6.2307, 6.2307 and 6.2307 Å and the angles 90.00°, 90.00° and 90.00°. The asymmetric unit holds Ta at (0.0000, 0.0000, 0.0000), Ni at (0.2500, 0.2500, 0.2500), Pt at (0.0000, 0.0000, 0.5000) and Pt at (0.2500, 0.2500, 0.7500).

As for the energy relative to the elements: -0.367 eV per atom. Its magnetic moment is 0.001 μB/atom.

5.
The following is a PBE-GGA calculation of a geometry-optimized LuMgAgSe2S structure, from the Open Quantum Materials Database.

The structure belongs to space group Cmcm (No. 63); the cell edges are 3.8419, 12.9231 and 10.5493 Å and the angles 90.00°, 90.00° and 90.00°. The asymmetric unit holds Lu at (0.0000, 0.0000, 0.0000), Mg at (0.0000, 0.2478, 0.2500), Ag at (0.0000, 0.4831, 0.7500), Se at (0.0000, 0.3513, 0.5661) and S at (0.0000, 0.1139, 0.7500).

Its magnetic moment is 0.001 μB/atom.

6.
The following is a PBE-GGA calculation of a geometry-optimized DyTmTlC structure, from the Open Quantum Materials Database.

The structure belongs to space group P-6m2 (No. 187); the cell edges are 3.5846, 3.5846 and 16.1758 Å and the angles 90.00°, 90.00° and 120.00°. The asymmetric unit holds Dy at (0.0000, 0.0000, 0.1691), Tm at (0.3333, 0.6667, 0.3349), Tl at (0.0000, 0.0000, 0.5000), Tl at (0.3333, 0.6667, 0.0000) and C at (0.6667, 0.3333, 0.2524).

Its magnetic moment is 0.037 μB/atom.

7.
The following is a PBE-GGA calculation of a geometry-optimized NaScZnS3 structure, from the Open Quantum Materials Database.

The structure belongs to space group Pnma (No. 62); the cell edges are 10.0898, 3.7552 and 12.8771 Å and the angles 90.00°, 90.00° and 90.00°. The asymmetric unit holds Na at (0.2184, 0.2500, 0.0017), Sc at (0.0167, 0.7500, 0.7419), Zn at (0.2336, 0.7500, 0.2190), S at (0.0399, 0.7500, 0.1251), S at (0.0823, 0.2500, 0.6146) and S at (0.2336, 0.2500, 0.3292).

Its magnetic moment is 0.001 μB/atom. The value obtained for the offset from the most stable computed form is 0.001 eV per atom.

8.
The following is a PBE-GGA calculation of a geometry-optimized DyLu2In3CuNi2 structure, from the Open Quantum Materials Database.

The structure belongs to space group Amm2 (No. 38); the cell edges are 3.7944, 12.8184 and 7.4023 Å and the angles 90.00°, 90.00° and 90.00°. The asymmetric unit holds Dy at (0.0000, 0.0000, 0.0000), Lu at (0.0000, 0.2062, 0.6188), In at (0.5000, 0.0000, 0.6704), In at (0.5000, 0.1303, 0.2841), Cu at (0.0000, 0.0000, 0.4140) and Ni at (0.5000, 0.1679, 0.9125).

Its magnetic moment is 0.000 μB/atom.

9.
The following is a PBE-GGA calculation of a geometry-optimized AgSbC2N2Cl2F6 structure, from the Open Quantum Materials Database.

The structure belongs to space group P2/c (No. 13); the cell edges are 7.3856, 8.4297 and 9.5185 Å and the angles 90.00°, 128.43° and 90.00°. The asymmetric unit holds Ag at (0.0000, 0.0000, 0.0000), Sb at (0.0000, 0.5000, 0.0000), C at (0.3875, 0.1610, 0.3753), N at (0.2837, 0.0894, 0.2415), Cl at (0.4609, 0.2477, 0.9360), F at (0.1040, 0.2882, 0.5966), F at (0.1551, 0.4227, 0.2360) and F at (0.2851, 0.4628, 0.0435).

10.
The following is a PBE-GGA calculation of a geometry-optimized Na4MgZnSn2 structure, from the Open Quantum Materials Database.

The structure belongs to space group P-6m2 (No. 187); the cell edges are 4.9100, 4.9100 and 10.0670 Å and the angles 90.00°, 90.00° and 120.00°. The asymmetric unit holds Na at (0.0000, 0.0000, 0.1672), Na at (0.3333, 0.6667, 0.3315), Mg at (0.6667, 0.3333, 0.5000), Zn at (0.6667, 0.3333, 0.0000), Sn at (0.0000, 0.0000, 0.5000) and Sn at (0.3333, 0.6667, 0.0000).

11.
The following is a PBE-GGA calculation of a geometry-optimized NaPd4O8 structure, from the Open Quantum Materials Database.

The structure belongs to space group R-3m (No. 166, hexagonal axes); the cell edges are 6.1739, 6.1739 and 15.6823 Å and the angles 90.00°, 90.00° and 120.00°. The asymmetric unit holds Na at (0.0000, 0.0000, 0.0000), Pd at (0.0000, 0.0000, 0.5000), Pd at (0.0000, 0.5000, 0.5000), O at (0.0000, 0.0000, 0.2313) and O at (0.0066, 0.5033, 0.7682).

12.
The following is a PBE-GGA calculation of a geometry-optimized SmDy2Ni4Sn4 structure, from the Open Quantum Materials Database.

The structure belongs to space group Immm (No. 71); the cell edges are 4.3957, 7.0714 and 14.2981 Å and the angles 90.00°, 90.00° and 90.00°. The asymmetric unit holds Sm at (0.0000, 0.0000, 0.0000), Dy at (0.0000, 0.5000, 0.1315), Ni at (0.0000, 0.3082, 0.3214), Sn at (0.0000, 0.0000, 0.2175) and Sn at (0.0000, 0.2017, 0.5000).

Its magnetic moment is 0.001 μB/atom.

13.
The following is a PBE-GGA calculation of a geometry-optimized BeGaNiMo structure, from the Open Quantum Materials Database.

The structure belongs to space group F-43m (No. 216); the cell edges are 5.8504, 5.8504 and 5.8504 Å and the angles 90.00°, 90.00° and 90.00°. The asymmetric unit holds Be at (0.0000, 0.0000, 0.0000), Ga at (0.2500, 0.2500, 0.2500), Ni at (0.0000, 0.0000, 0.5000) and Mo at (0.2500, 0.2500, 0.7500).

Its magnetic moment is 0.447 μB/atom. The value obtained for the offset from the most stable computed form is 0.027 eV per atom.

14.
The following is a PBE-GGA calculation of a geometry-optimized RbTaGe structure, from the Open Quantum Materials Database.

The structure belongs to space group F-43m (No. 216); the cell edges are 6.9875, 6.9875 and 6.9875 Å and the angles 90.00°, 90.00° and 90.00°. The asymmetric unit holds Rb at (0.0000, 0.0000, 0.0000), Ta at (0.0000, 0.0000, 0.5000) and Ge at (0.2500, 0.2500, 0.2500).

Its magnetic moment is 0.667 μB/atom. The value obtained for the offset from the most stable computed form is 0.000 eV per atom.

15.
The following is a PBE-GGA calculation of a geometry-optimized Li4CdSn2Pt structure, from the Open Quantum Materials Database.

The structure belongs to space group P-4m2 (No. 115); the cell edges are 4.5711, 4.5711 and 6.6376 Å and the angles 90.00°, 90.00° and 90.00°. The asymmetric unit holds Li at (0.0000, 0.0000, 0.0000), Li at (0.0000, 0.5000, 0.2279), Li at (0.5000, 0.5000, 0.5000), Cd at (0.0000, 0.0000, 0.5000), Sn at (0.0000, 0.5000, 0.7725) and Pt at (0.5000, 0.5000, 0.0000).

Its magnetic moment is 0.000 μB/atom.

16.
The following is a PBE-GGA calculation of a geometry-optimized NbCdAu structure, from the Open Quantum Materials Database.

The structure belongs to space group F-43m (No. 216); the cell edges are 6.3371, 6.3371 and 6.3371 Å and the angles 90.00°, 90.00° and 90.00°. The asymmetric unit holds Nb at (0.0000, 0.0000, 0.0000), Cd at (0.0000, 0.0000, 0.5000) and Au at (0.2500, 0.2500, 0.7500).

As for the energy relative to the elements: 0.222 eV per atom. Its magnetic moment is 0.000 μB/atom. The value obtained for the offset from the most stable computed form is 0.000 eV per atom.

17.
The following is a PBE-GGA calculation of a geometry-optimized Zr3SiCN structure, from the Open Quantum Materials Database.

The structure belongs to space group P-3m1 (No. 164); the cell edges are 3.2898, 3.2898 and 18.9628 Å and the angles 90.00°, 90.00° and 120.00°. The asymmetric unit holds Zr at (0.0000, 0.0000, 0.0000), Zr at (0.0000, 0.0000, 0.5000), Zr at (0.3333, 0.6667, 0.1389), Zr at (0.3333, 0.6667, 0.3599), Si at (0.0000, 0.0000, 0.2491), C at (0.3333, 0.6667, 0.5742) and N at (0.3333, 0.6667, 0.9301).

Its magnetic moment is 0.001 μB/atom.

18.
The following is a PBE-GGA calculation of a geometry-optimized TbDy2Al3CuSi2 structure, from the Open Quantum Materials Database.

The structure belongs to space group Amm2 (No. 38); the cell edges are 4.1810, 11.9921 and 6.9189 Å and the angles 90.00°, 90.00° and 90.00°. The asymmetric unit holds Tb at (0.0000, 0.0000, 0.0000), Dy at (0.0000, 0.2031, 0.3907), Al at (0.5000, 0.0000, 0.3564), Al at (0.5000, 0.1188, 0.7121), Cu at (0.0000, 0.0000, 0.5927) and Si at (0.5000, 0.1672, 0.0939).

Its magnetic moment is 0.000 μB/atom.

19.
The following is a PBE-GGA calculation of a geometry-optimized Y2Ga4AgPt structure, from the Open Quantum Materials Database.

The structure belongs to space group Amm2 (No. 38); the cell edges are 6.6521, 4.4586 and 10.2952 Å and the angles 90.00°, 90.00° and 90.00°. The asymmetric unit holds Y at (0.0000, 0.0000, 0.0000), Y at (0.5000, 0.0000, 0.1729), Ga at (0.2016, 0.0000, 0.7125), Ga at (0.3052, 0.0000, 0.4618), Ag at (0.0000, 0.0000, 0.2900) and Pt at (0.5000, 0.0000, 0.8850).

Its magnetic moment is 0.000 μB/atom.

20.
The following is a PBE-GGA calculation of a geometry-optimized LuIr structure, from the Open Quantum Materials Database.

The structure belongs to space group F-43m (No. 216); the cell edges are 6.1066, 6.1066 and 6.1066 Å and the angles 90.00°, 90.00° and 90.00°. The asymmetric unit holds Lu at (0.0000, 0.0000, 0.0000) and Ir at (0.2500, 0.2500, 0.2500).

As for the energy relative to the elements: 0.239 eV per atom. Its magnetic moment is 0.000 μB/atom.

no.,theoretical density (Mg/m³),final energy (eV per atom)
1,8.72,-6.578
2,9.18,-8.974
3,6.14,-4.072
4,17.29,-7.750
5,6.30,-4.400
6,10.11,-5.558
7,3.13,-4.894
8,9.57,-4.553
9,3.34,-5.059
10,3.31,-2.194
11,5.55,-5.250
12,8.85,-5.308
13,7.74,-5.707
14,6.60,-4.338
15,6.86,-3.320
16,10.50,-4.530
17,6.12,-9.150
18,6.55,-5.039
19,8.26,-4.942
20,10.71,-6.450